# 1
Material: GePCO2
Method: DFT, PBE
State: optimized geometry

```
data_GePCO2
_cell_length_a 3.417
_cell_length_b 3.417
_cell_length_c 6.328
_cell_angle_alpha 90.00
_cell_angle_beta 90.00
_cell_angle_gamma 90.00
_symmetry_space_group_name_H-M 'P 4/m m m'
_symmetry_Int_Tables_number 123
_symmetry_space_group_name_Hall '-P 4 2'
loop_
_atom_site_label
_atom_site_fract_x
_atom_site_fract_y
_atom_site_fract_z
_atom_site_occupancy
Ge1 0.000 0.000 0.000 1
P1 0.000 0.000 0.500 1
C1 0.500 0.500 0.500 1
O1 0.000 0.500 0.000 1
```

Distance to the lowest polymorph of the same formula (meV per atom): 0
ΔE_f (raw) (eV/atom): 0.758

# 2
Material: TiBP2O
Method: DFT, PBE
State: optimized geometry

```
data_TiBP2O
_cell_length_a 4.846
_cell_length_b 4.846
_cell_length_c 3.650
_cell_angle_alpha 90.00
_cell_angle_beta 90.00
_cell_angle_gamma 90.00
_symmetry_space_group_name_H-M 'P 4/m m m'
_symmetry_Int_Tables_number 123
_symmetry_space_group_name_Hall '-P 4 2'
loop_
_atom_site_label
_atom_site_fract_x
_atom_site_fract_y
_atom_site_fract_z
_atom_site_occupancy
Ti1 0.000 0.000 0.000 1
B1 0.500 0.500 0.500 1
P1 0.000 0.500 0.000 1
O1 0.000 0.000 0.500 1
```

Distance to the lowest polymorph of the same formula (meV per atom): 703
ΔE_f (raw) (eV/atom): 0.433

# 3
Material: Li2ReAu
Method: DFT, PBE
State: optimized geometry

```
data_Li2ReAu
_cell_length_a 2.644
_cell_length_b 2.644
_cell_length_c 8.461
_cell_angle_alpha 90.00
_cell_angle_beta 90.00
_cell_angle_gamma 90.00
_symmetry_space_group_name_H-M 'P 4/m m m'
_symmetry_Int_Tables_number 123
_symmetry_space_group_name_Hall '-P 4 2'
loop_
_atom_site_label
_atom_site_fract_x
_atom_site_fract_y
_atom_site_fract_z
_atom_site_occupancy
Li1 0.000 0.000 0.247 1
Re1 0.500 0.500 0.500 1
Au1 0.500 0.500 0.000 1
```

Distance to the lowest polymorph of the same formula (meV per atom): 3
E_form (kJ/mol of formula units): 4

# 4
Material: BaAlGa4
Method: DFT, PBE
State: optimized geometry

```
data_BaAlGa4
_cell_length_a 8.348
_cell_length_b 16.093
_cell_length_c 4.149
_cell_angle_alpha 90.00
_cell_angle_beta 90.00
_cell_angle_gamma 90.00
_symmetry_space_group_name_H-M 'P b a m'
_symmetry_Int_Tables_number 55
_symmetry_space_group_name_Hall '-P 2 2ab'
loop_
_atom_site_label
_atom_site_fract_x
_atom_site_fract_y
_atom_site_fract_z
_atom_site_occupancy
Ba1 0.131 0.150 0.000 1
Al1 0.141 0.412 0.000 1
Ga1 0.018 0.692 0.500 1
Ga2 0.114 0.547 0.500 1
Ga3 0.136 0.965 0.500 1
Ga4 0.213 0.812 0.500 1
```

E_form (kJ/mol of formula units): -145

# 5
Material: Al2In2Ge
Method: DFT, PBE
State: optimized geometry

```
data_Al2In2Ge
_cell_length_a 8.624
_cell_length_b 8.624
_cell_length_c 3.009
_cell_angle_alpha 90.00
_cell_angle_beta 90.00
_cell_angle_gamma 90.00
_symmetry_space_group_name_H-M 'P 4/m b m'
_symmetry_Int_Tables_number 127
_symmetry_space_group_name_Hall '-P 4 2ab'
loop_
_atom_site_label
_atom_site_fract_x
_atom_site_fract_y
_atom_site_fract_z
_atom_site_occupancy
Al1 0.118 0.382 0.000 1
In1 0.179 0.679 0.500 1
Ge1 0.000 0.000 0.500 1
```

Distance to the lowest polymorph of the same formula (meV per atom): 127
E_form (kJ/mol of formula units): 141

# 6
Material: CsYAsSe2
Method: DFT, PBE
State: optimized geometry

```
data_CsYAsSe2
_cell_length_a 5.604
_cell_length_b 5.604
_cell_length_c 5.669
_cell_angle_alpha 90.00
_cell_angle_beta 90.00
_cell_angle_gamma 90.00
_symmetry_space_group_name_H-M 'P 4/m m m'
_symmetry_Int_Tables_number 123
_symmetry_space_group_name_Hall '-P 4 2'
loop_
_atom_site_label
_atom_site_fract_x
_atom_site_fract_y
_atom_site_fract_z
_atom_site_occupancy
Cs1 0.000 0.000 0.000 1
Y1 0.500 0.500 0.500 1
As1 0.500 0.500 0.000 1
Se1 0.000 0.500 0.500 1
```

Distance to the lowest polymorph of the same formula (meV per atom): 0
ΔE_f (raw) (eV/atom): -0.765

# 7
Material: Pm2NdPd9
Method: DFT, PBE
State: optimized geometry

```
data_Pm2NdPd9
_cell_length_a 4.193
_cell_length_b 4.193
_cell_length_c 12.576
_cell_angle_alpha 90.00
_cell_angle_beta 90.00
_cell_angle_gamma 90.00
_symmetry_space_group_name_H-M 'P 4/m m m'
_symmetry_Int_Tables_number 123
_symmetry_space_group_name_Hall '-P 4 2'
loop_
_atom_site_label
_atom_site_fract_x
_atom_site_fract_y
_atom_site_fract_z
_atom_site_occupancy
Pm1 0.000 0.000 0.166 1
Nd1 0.000 0.000 0.500 1
Pd1 0.000 0.500 0.000 1
Pd2 0.000 0.500 0.332 1
Pd3 0.500 0.500 0.166 1
Pd4 0.500 0.500 0.500 1
```

E_form (kJ/mol of formula units): -901

# 8
Material: NaBi2Se2
Method: DFT, PBE
State: optimized geometry

```
data_NaBi2Se2
_cell_length_a 7.967
_cell_length_b 7.967
_cell_length_c 4.371
_cell_angle_alpha 90.00
_cell_angle_beta 90.00
_cell_angle_gamma 90.00
_symmetry_space_group_name_H-M 'P 4/m b m'
_symmetry_Int_Tables_number 127
_symmetry_space_group_name_Hall '-P 4 2ab'
loop_
_atom_site_label
_atom_site_fract_x
_atom_site_fract_y
_atom_site_fract_z
_atom_site_occupancy
Na1 0.000 0.000 0.000 1
Bi1 0.150 0.350 0.500 1
Se1 0.174 0.674 0.000 1
```

Distance to the lowest polymorph of the same formula (meV per atom): 8
ΔE_f (raw) (eV/atom): -0.268

| no. | magnetic moment (μB per formula unit) |
| --- | --- |
| 1 | 0.11 |
| 2 | 0.00 |
| 3 | 0.00 |
| 4 | 0.00 |
| 5 | 0.00 |
| 6 | 1.50 |
| 7 | 0.00 |
| 8 | 0.00 |